<i>
BaAs2OsBr: relaxed, GGA-PBE.

The calculation puts the magnetization at 0.00 Bohr magnetons per cell. The value obtained for the calculated density is 6.9 g/cm³.

It has space group P4/mmm (No. 123), with a = 4.797 Å, b = 4.797 Å, c = 5.799 Å, α = 90.00°, β = 90.00° and γ = 90.00°. The inequivalent atoms are Ba at (0.000, 0.000, 0.000), As at (0.000, 0.500, 0.500), Os at (0.500, 0.500, 0.500) and Br at (0.500, 0.500, 0.000).


<ii>
BaAs2OsBr: relaxed, GGA-PBE.

The calculation puts the magnetization at 0.57 Bohr magnetons per cell. The value obtained for the calculated density is 3.8 g/cm³.

It has space group P4/mmm (No. 123), with a = 6.351 Å, b = 6.351 Å, c = 6.013 Å, α = 90.00°, β = 90.00° and γ = 90.00°. The inequivalent atoms are Ba at (0.000, 0.000, 0.000), As at (0.000, 0.500, 0.000), Os at (0.500, 0.500, 0.500) and Br at (0.000, 0.000, 0.500).


Relative stability in kJ/mol of atoms, measured from the most stable structure: <i> 0.0; <ii> 199.9


<i>
BaAs2PBr: relaxed, GGA-PBE.

The calculation puts the magnetization at 0.00 Bohr magnetons per cell. The value obtained for the calculated density is 4.6 g/cm³.

It has space group P4/mmm (No. 123), with a = 4.753 Å, b = 4.753 Å, c = 6.342 Å, α = 90.00°, β = 90.00° and γ = 90.00°. The inequivalent atoms are Ba at (0.000, 0.000, 0.000), As at (0.000, 0.500, 0.500), P at (0.500, 0.500, 0.500) and Br at (0.500, 0.500, 0.000).


<ii>
BaAs2PBr: relaxed, GGA-PBE.

The calculation puts the magnetization at 8.00 Bohr magnetons per cell. The value obtained for the calculated density is 2.2 g/cm³.

It has space group P4/mmm (No. 123), with a = 6.858 Å, b = 6.858 Å, c = 6.313 Å, α = 90.00°, β = 90.00° and γ = 90.00°. The inequivalent atoms are Ba at (0.000, 0.000, 0.000), As at (0.000, 0.500, 0.000), P at (0.500, 0.500, 0.500) and Br at (0.000, 0.000, 0.500).


Relative stability in kJ/mol of atoms, measured from the most stable structure: <i> 0.0; <ii> 126.0


<i>
BaAsPBr2: relaxed, GGA-PBE.

The calculation puts the magnetization at 0.00 Bohr magnetons per cell. The value obtained for the calculated density is 4.6 g/cm³.

It has space group P4/mmm (No. 123), with a = 5.516 Å, b = 5.516 Å, c = 4.809 Å, α = 90.00°, β = 90.00° and γ = 90.00°. The inequivalent atoms are Ba at (0.000, 0.000, 0.000), As at (0.500, 0.500, 0.000), P at (0.500, 0.500, 0.500) and Br at (0.000, 0.500, 0.500).


<ii>
BaAsPBr2: relaxed, GGA-PBE.

The calculation puts the magnetization at 6.00 Bohr magnetons per cell. The value obtained for the calculated density is 2.2 g/cm³.

It has space group P4/mmm (No. 123), with a = 6.292 Å, b = 6.292 Å, c = 7.695 Å, α = 90.00°, β = 90.00° and γ = 90.00°. The inequivalent atoms are Ba at (0.000, 0.000, 0.000), As at (0.000, 0.000, 0.500), P at (0.500, 0.500, 0.500) and Br at (0.000, 0.500, 0.000).


Relative stability in kJ/mol of atoms, measured from the most stable structure: <i> 0.0; <ii> 74.7


<i>
BaAsPdBr2: relaxed, GGA-PBE.

The calculation puts the magnetization at 3.09 Bohr magnetons per cell. The value obtained for the calculated density is 3.1 g/cm³.

It has space group P4/mmm (No. 123), with a = 6.246 Å, b = 6.246 Å, c = 6.663 Å, α = 90.00°, β = 90.00° and γ = 90.00°. The inequivalent atoms are Ba at (0.000, 0.000, 0.000), As at (0.000, 0.000, 0.500), Pd at (0.500, 0.500, 0.500) and Br at (0.000, 0.500, 0.000).


<ii>
BaAsPdBr2: relaxed, GGA-PBE.

The calculation puts the magnetization at 0.00 Bohr magnetons per cell. The value obtained for the calculated density is 5.6 g/cm³.

It has space group P4/mmm (No. 123), with a = 5.341 Å, b = 5.341 Å, c = 4.970 Å, α = 90.00°, β = 90.00° and γ = 90.00°. The inequivalent atoms are Ba at (0.000, 0.000, 0.000), As at (0.500, 0.500, 0.000), Pd at (0.500, 0.500, 0.500) and Br at (0.000, 0.500, 0.500).


Relative stability in kJ/mol of atoms, measured from the most stable structure: <i> 82.9; <ii> 0.0


<i>
BaAs2PdBr: relaxed, GGA-PBE.

The calculation puts the magnetization at 5.10 Bohr magnetons per cell. The value obtained for the calculated density is 3.0 g/cm³.

It has space group P4/mmm (No. 123), with a = 6.535 Å, b = 6.535 Å, c = 6.170 Å, α = 90.00°, β = 90.00° and γ = 90.00°. The inequivalent atoms are Ba at (0.000, 0.000, 0.000), As at (0.000, 0.500, 0.000), Pd at (0.500, 0.500, 0.500) and Br at (0.000, 0.000, 0.500).


<ii>
BaAs2PdBr: relaxed, GGA-PBE.

The calculation puts the magnetization at 1.03 Bohr magnetons per cell. The value obtained for the calculated density is 5.3 g/cm³.

It has space group P4/mmm (No. 123), with a = 4.798 Å, b = 4.798 Å, c = 6.478 Å, α = 90.00°, β = 90.00° and γ = 90.00°. The inequivalent atoms are Ba at (0.000, 0.000, 0.000), As at (0.000, 0.500, 0.500), Pd at (0.500, 0.500, 0.500) and Br at (0.500, 0.500, 0.000).


Relative stability in kJ/mol of atoms, measured from the most stable structure: <i> 130.0; <ii> 0.0


<i>
BaAs2PtBr: relaxed, GGA-PBE.

The calculation puts the magnetization at 4.96 Bohr magnetons per cell. The value obtained for the calculated density is 3.6 g/cm³.

It has space group P4/mmm (No. 123), with a = 6.508 Å, b = 6.508 Å, c = 6.048 Å, α = 90.00°, β = 90.00° and γ = 90.00°. The inequivalent atoms are Ba at (0.000, 0.000, 0.000), As at (0.000, 0.500, 0.000), Pt at (0.500, 0.500, 0.500) and Br at (0.000, 0.000, 0.500).


<ii>
BaAs2PtBr: relaxed, GGA-PBE.

The calculation puts the magnetization at 0.00 Bohr magnetons per cell. The value obtained for the calculated density is 6.8 g/cm³.

It has space group P4/mmm (No. 123), with a = 4.938 Å, b = 4.938 Å, c = 5.667 Å, α = 90.00°, β = 90.00° and γ = 90.00°. The inequivalent atoms are Ba at (0.000, 0.000, 0.000), As at (0.000, 0.500, 0.500), Pt at (0.500, 0.500, 0.500) and Br at (0.500, 0.500, 0.000).


Relative stability in kJ/mol of atoms, measured from the most stable structure: <i> 159.2; <ii> 0.0